1.
# GGA-PBE AcTl3As2O8, optimized geometry
data_AcTl3As2O8
_chemical_formula_sum 'Ac1 Tl3 As2 O8'
_cell_length_a 6.1918
_cell_length_b 6.1918
_cell_length_c 8.1114
_cell_angle_alpha 90.00
_cell_angle_beta 90.00
_cell_angle_gamma 120.00
_symmetry_space_group_name_H-M 'P -3 m 1'
_symmetry_Int_Tables_number 164
_symmetry_space_group_name_Hall '-P 3 2"'
loop_
_atom_site_label
_atom_site_fract_x
_atom_site_fract_y
_atom_site_fract_z
_atom_site_occupancy
Ac1 0.0000 0.0000 0.0000 1
Tl1 0.0000 0.0000 0.5000 1
Tl2 0.3333 0.6667 0.2291 1
As1 0.3333 0.6667 0.7340 1
O1 0.1821 0.3642 0.8110 1
O2 0.3333 0.6667 0.5256 1
# Raw formation energy   -1.59 eV per atom

2.
Below is an optimized crystal structure of HoH6Ir2Pd, with properties calculated at the GGA-PBE level.

```
data_HoH6Ir2Pd
_chemical_formula_sum 'Ho4 H24 Ir8 Pd4'
_cell_length_a 8.2307
_cell_length_b 8.8185
_cell_length_c 5.2668
_cell_angle_alpha 90.00
_cell_angle_beta 105.85
_cell_angle_gamma 90.00
_symmetry_space_group_name_H-M 'C 1 2/c 1'
_symmetry_Int_Tables_number 15
_symmetry_space_group_name_Hall '-C 2yc'
loop_
_atom_site_label
_atom_site_fract_x
_atom_site_fract_y
_atom_site_fract_z
_atom_site_occupancy
Ho1 0.0000 0.1884 0.2500 1
H1 0.1051 0.4294 0.1292 1
H2 0.1411 0.0026 0.5613 1
H3 0.1911 0.2779 0.6400 1
Ir1 0.1892 0.1315 0.8278 1
Pd1 0.0000 0.4124 0.7500 1
```

3.
# GGA-PBE Ca3Br2O2, optimized geometry
data_Ca3Br2O2
_chemical_formula_sum 'Ca6 Br4 O4'
_cell_length_a 13.5865
_cell_length_b 3.9200
_cell_length_c 7.0095
_cell_angle_alpha 90.00
_cell_angle_beta 120.94
_cell_angle_gamma 90.00
_symmetry_space_group_name_H-M 'C 1 2/m 1'
_symmetry_Int_Tables_number 12
_symmetry_space_group_name_Hall '-C 2y'
loop_
_atom_site_label
_atom_site_fract_x
_atom_site_fract_y
_atom_site_fract_z
_atom_site_occupancy
Ca1 0.0000 0.0000 0.0000 1
Ca2 0.2314 0.0000 0.7945 1
Br1 0.0937 0.5000 0.3757 1
O1 0.1758 0.0000 0.0455 1
# ΔE to the lowest computed polymorph   0 meV per atom
# Raw formation energy   -2.51 eV per atom

4.
# GGA-PBE YAlBr, optimized geometry
data_YAlBr
_chemical_formula_sum 'Y4 Al4 Br4'
_cell_length_a 7.1300
_cell_length_b 7.1300
_cell_length_c 7.1300
_cell_angle_alpha 90.00
_cell_angle_beta 90.00
_cell_angle_gamma 90.00
_symmetry_space_group_name_H-M 'F -4 3 m'
_symmetry_Int_Tables_number 216
_symmetry_space_group_name_Hall 'F -4 2 3'
loop_
_atom_site_label
_atom_site_fract_x
_atom_site_fract_y
_atom_site_fract_z
_atom_site_occupancy
Y1 0.0000 0.0000 0.0000 1
Al1 0.2500 0.2500 0.7500 1
Br1 0.2500 0.2500 0.2500 1
# Raw formation energy   0.02 eV per atom

5.
# GGA-PBE K2Be2F5, optimized geometry
data_K2Be2F5
_chemical_formula_sum 'K4 Be4 F10'
_cell_length_a 8.3462
_cell_length_b 4.3520
_cell_length_c 9.6452
_cell_angle_alpha 90.00
_cell_angle_beta 103.47
_cell_angle_gamma 90.00
_symmetry_space_group_name_H-M 'C 1 2/m 1'
_symmetry_Int_Tables_number 12
_symmetry_space_group_name_Hall '-C 2y'
loop_
_atom_site_label
_atom_site_fract_x
_atom_site_fract_y
_atom_site_fract_z
_atom_site_occupancy
K1 0.0793 0.0000 0.3114 1
Be1 0.1553 0.5000 0.9390 1
F1 0.0000 0.5000 0.0000 1
F2 0.1281 0.5000 0.7821 1
F3 0.1774 0.0000 0.9584 1
# Raw formation energy   -2.71 eV per atom

6.
# GGA-PBE MgSe2O5, optimized geometry
data_MgSe2O5
_chemical_formula_sum 'Mg4 Se8 O20'
_cell_length_a 6.9387
_cell_length_b 10.5364
_cell_length_c 6.1461
_cell_angle_alpha 90.00
_cell_angle_beta 90.00
_cell_angle_gamma 90.00
_symmetry_space_group_name_H-M 'P b c n'
_symmetry_Int_Tables_number 60
_symmetry_space_group_name_Hall '-P 2n 2ab'
loop_
_atom_site_label
_atom_site_fract_x
_atom_site_fract_y
_atom_site_fract_z
_atom_site_occupancy
Mg1 0.0000 0.0613 0.2500 1
Se1 0.1364 0.3457 0.0341 1
O1 0.0000 0.4336 0.2500 1
O2 0.1545 0.0672 0.5494 1
O3 0.1940 0.2090 0.1639 1
# Raw formation energy   -1.32 eV per atom

7.
# GGA-PBE YHoAlSi, optimized geometry
data_YHoAlSi
_chemical_formula_sum 'Y2 Ho2 Al2 Si2'
_cell_length_a 3.9800
_cell_length_b 4.3291
_cell_length_c 10.8019
_cell_angle_alpha 90.00
_cell_angle_beta 90.00
_cell_angle_gamma 90.00
_symmetry_space_group_name_H-M 'A m m 2'
_symmetry_Int_Tables_number 38
_symmetry_space_group_name_Hall 'A 2 -2'
loop_
_atom_site_label
_atom_site_fract_x
_atom_site_fract_y
_atom_site_fract_z
_atom_site_occupancy
Y1 0.0000 0.0000 0.0000 1
Ho1 0.5000 0.0000 0.7175 1
Al1 0.5000 0.0000 0.4298 1
Si1 0.0000 0.0000 0.2820 1
# Raw formation energy   -0.66 eV per atom

8.
# GGA-PBE Zr5Ag4, optimized geometry
data_Zr5Ag4
_chemical_formula_sum 'Zr10 Ag8'
_cell_length_a 10.3900
_cell_length_b 10.3900
_cell_length_c 3.4181
_cell_angle_alpha 90.00
_cell_angle_beta 90.00
_cell_angle_gamma 90.00
_symmetry_space_group_name_H-M 'I 4/m m m'
_symmetry_Int_Tables_number 139
_symmetry_space_group_name_Hall '-I 4 2'
loop_
_atom_site_label
_atom_site_fract_x
_atom_site_fract_y
_atom_site_fract_z
_atom_site_occupancy
Zr1 0.0000 0.0000 0.0000 1
Zr2 0.1692 0.1692 0.5000 1
Ag1 0.0000 0.3380 0.0000 1
# ΔE to the lowest computed polymorph   0 meV per atom

| no. | final energy (eV/cell) |
| --- | --- |
| 1 | -82.38 |
| 2 | -201.58 |
| 3 | -73.74 |
| 4 | -47.31 |
| 5 | -86.87 |
| 6 | -175.76 |
| 7 | -45.73 |
| 8 | -107.29 |